{"formula": "BaHg2Ru", "functional": "PBE", "state": "relaxed", "lattice": [[3.753, 0.000, 0.000], [0.000, 3.753, 0.000], [0.000, 0.000, 7.574]], "species": ["Ba", "Hg", "Hg", "Ru"], "frac_coords": [[0.000, 0.000, 0.000], [0.000, 0.000, 0.577], [0.500, 0.500, 0.324], [0.500, 0.500, 0.691]], "space_group": "P4mm (99)", "delta_e_f_ev_per_atom": 0.229}

{"formula": "TiHgI2", "functional": "PBE", "state": "relaxed", "lattice": [[3.488, -2.007, 0.000], [3.488, 2.007, 0.000], [-2.336, 0.000, 10.660]], "species": ["Ti", "Hg", "I", "I"], "frac_coords": [[0.000, 0.000, 0.000], [0.176, 0.176, 0.500], [0.387, 0.387, 0.161], [0.613, 0.613, 0.839]], "raw_formation_energy_mev_per_atom": -459, "space_group": "Cm (8)"}

{"formula": "Cd2AsIr", "functional": "PBE", "state": "relaxed", "lattice": [[4.988, -1.537, 0.000], [4.988, 1.537, 0.000], [-0.726, 0.000, 4.795]], "species": ["Cd", "Cd", "As", "Ir"], "frac_coords": [[0.240, 0.240, 0.241], [0.760, 0.760, 0.759], [0.000, 0.000, 0.500], [0.500, 0.500, 0.000]], "space_group": "C2/m (12)", "delta_e_f_ev_per_atom": 0.271}

{"formula": "HfCo2RuI", "functional": "PBE", "state": "relaxed", "lattice": [[4.680, 0.000, 0.000], [0.000, 4.680, 0.000], [0.000, 0.000, 4.907]], "species": ["Hf", "Co", "Co", "Ru", "I"], "frac_coords": [[0.000, 0.000, 0.000], [0.000, 0.500, 0.500], [0.500, 0.000, 0.500], [0.000, 0.000, 0.500], [0.500, 0.500, 0.000]], "raw_formation_energy_mev_per_atom": 978, "space_group": "P4/mmm (123)"}

{"formula": "Li2La2Mn", "functional": "PBE", "state": "relaxed", "lattice": [[6.944, 0.000, 0.000], [0.000, 6.944, 0.000], [0.000, 0.000, 4.648]], "species": ["Li", "Li", "Li", "Li", "La", "La", "La", "La", "Mn", "Mn"], "frac_coords": [[0.122, 0.378, 0.000], [0.378, 0.878, 0.000], [0.622, 0.122, 0.000], [0.878, 0.622, 0.000], [0.205, 0.705, 0.500], [0.295, 0.205, 0.500], [0.705, 0.795, 0.500], [0.795, 0.295, 0.500], [0.000, 0.000, 0.000], [0.500, 0.500, 0.000]], "space_group": "P4/mbm (127)", "delta_e_f_ev_per_atom": 0.590}

{"formula": "BS2N", "functional": "PBE", "state": "relaxed", "lattice": [[-2.597, 2.597, 3.656], [2.597, -2.597, 3.656], [2.597, 2.597, -3.656]], "species": ["B", "B", "S", "S", "S", "S", "N", "N"], "frac_coords": [[0.000, 0.000, 0.000], [0.750, 0.250, 0.500], [0.085, 0.125, 0.460], [0.375, 0.915, 0.040], [0.665, 0.625, 0.540], [0.875, 0.335, 0.960], [0.250, 0.750, 0.500], [0.500, 0.500, 0.000]], "raw_formation_energy_mev_per_atom": 1026, "space_group": "I-42d (122)"}

{"formula": "Rb2Te3Se8", "functional": "PBE", "state": "relaxed", "lattice": [[8.201, -4.030, 0.000], [8.201, 4.030, 0.000], [-1.624, 0.000, 6.883]], "species": ["Rb", "Rb", "Te", "Te", "Te", "Se", "Se", "Se", "Se", "Se", "Se", "Se", "Se"], "frac_coords": [[0.237, 0.237, 0.186], [0.763, 0.763, 0.814], [0.248, 0.752, 0.500], [0.500, 0.500, 0.000], [0.752, 0.248, 0.500], [0.121, 0.121, 0.546], [0.164, 0.655, 0.122], [0.345, 0.836, 0.878], [0.396, 0.396, 0.629], [0.604, 0.604, 0.371], [0.655, 0.164, 0.122], [0.836, 0.345, 0.878], [0.879, 0.879, 0.454]], "raw_formation_energy_mev_per_atom": -226, "space_group": "C2/m (12)"}

{"formula": "DyEr2In2", "functional": "PBE", "state": "relaxed", "lattice": [[3.720, 0.000, 0.000], [0.000, 5.320, 0.000], [-1.863, 0.000, 13.778]], "species": ["Dy", "Dy", "Er", "Er", "Er", "Er", "In", "In", "In", "In"], "frac_coords": [[0.149, 0.250, 0.299], [0.851, 0.750, 0.701], [0.048, 0.750, 0.096], [0.237, 0.750, 0.475], [0.763, 0.250, 0.525], [0.952, 0.250, 0.904], [0.357, 0.250, 0.713], [0.450, 0.750, 0.901], [0.550, 0.250, 0.099], [0.643, 0.750, 0.287]], "space_group": "P2_1/m (11)", "delta_e_f_ev_per_atom": -0.373}

{"formula": "ScRhN2F", "functional": "PBE", "state": "relaxed", "lattice": [[3.922, 0.000, 0.000], [0.000, 3.922, 0.000], [0.000, 0.000, 4.008]], "species": ["Sc", "Rh", "N", "N", "F"], "frac_coords": [[0.000, 0.000, 0.000], [0.500, 0.500, 0.500], [0.000, 0.500, 0.500], [0.500, 0.000, 0.500], [0.500, 0.500, 0.000]], "raw_formation_energy_mev_per_atom": -101, "space_group": "P4/mmm (123)"}

{"formula": "U2GaAs", "functional": "PBE", "state": "relaxed", "lattice": [[5.447, 0.000, 0.000], [0.000, 5.447, 0.000], [0.000, 0.000, 2.857]], "species": ["U", "U", "Ga", "As"], "frac_coords": [[0.000, 0.500, 0.000], [0.500, 0.000, 0.000], [0.000, 0.000, 0.500], [0.500, 0.500, 0.500]], "space_group": "P4/mmm (123)", "delta_e_f_ev_per_atom": -0.247}

{"formula": "Ho4Sb6Rh7", "functional": "PBE", "state": "relaxed", "lattice": [[-4.383, 4.383, 4.383], [4.383, -4.383, 4.383], [4.383, 4.383, -4.383]], "species": ["Ho", "Ho", "Ho", "Ho", "Sb", "Sb", "Sb", "Sb", "Sb", "Sb", "Rh", "Rh", "Rh", "Rh", "Rh", "Rh", "Rh"], "frac_coords": [[0.000, 0.000, 0.500], [0.000, 0.500, 0.000], [0.500, 0.000, 0.000], [0.500, 0.500, 0.500], [0.000, 0.316, 0.316], [0.000, 0.684, 0.684], [0.316, 0.000, 0.316], [0.316, 0.316, 0.000], [0.684, 0.000, 0.684], [0.684, 0.684, 0.000], [0.000, 0.000, 0.000], [0.250, 0.500, 0.750], [0.250, 0.750, 0.500], [0.500, 0.250, 0.750], [0.500, 0.750, 0.250], [0.750, 0.250, 0.500], [0.750, 0.500, 0.250]], "raw_formation_energy_mev_per_atom": -890, "space_group": "Im-3m (229)"}

{"formula": "Ca2CdSiPt6", "functional": "PBE", "state": "relaxed", "lattice": [[5.799, -2.766, 0.000], [5.799, 2.766, 0.000], [-5.679, 0.000, 6.423]], "species": ["Ca", "Ca", "Cd", "Si", "Pt", "Pt", "Pt", "Pt", "Pt", "Pt"], "frac_coords": [[0.234, 0.234, 0.207], [0.766, 0.766, 0.793], [0.500, 0.500, 0.000], [0.000, 0.000, 0.500], [0.248, 0.248, 0.585], [0.248, 0.738, 0.270], [0.262, 0.752, 0.730], [0.738, 0.248, 0.270], [0.752, 0.262, 0.730], [0.752, 0.752, 0.415]], "raw_formation_energy_mev_per_atom": -615, "space_group": "C2/m (12)"}

{"formula": "TbGdZnTc", "functional": "PBE", "state": "relaxed", "lattice": [[0.000, 3.505, 3.505], [3.505, 0.000, 3.505], [3.505, 3.505, 0.000]], "species": ["Tb", "Gd", "Zn", "Tc"], "frac_coords": [[0.000, 0.000, 0.000], [0.500, 0.500, 0.500], [0.250, 0.250, 0.250], [0.750, 0.750, 0.750]], "space_group": "F-43m (216)", "delta_e_f_ev_per_atom": -0.123}

{"formula": "AlZnFe2Sb", "functional": "PBE", "state": "relaxed", "lattice": [[4.571, 0.000, 0.000], [0.000, 4.571, 0.000], [0.000, 0.000, 5.050]], "species": ["Al", "Zn", "Fe", "Fe", "Sb"], "frac_coords": [[0.000, 0.000, 0.000], [0.500, 0.500, 0.500], [0.000, 0.500, 0.500], [0.500, 0.000, 0.500], [0.500, 0.500, 0.000]], "raw_formation_energy_mev_per_atom": 1052, "space_group": "P4/mmm (123)"}

{"formula": "Ba8Pd4Cl", "functional": "PBE", "state": "relaxed", "lattice": [[11.474, -2.318, 0.000], [11.474, 2.318, 0.000], [-10.494, 0.000, 11.536]], "species": ["Ba", "Ba", "Ba", "Ba", "Ba", "Ba", "Ba", "Ba", "Pd", "Pd", "Pd", "Pd", "Cl"], "frac_coords": [[0.000, 0.000, 0.000], [0.014, 0.014, 0.733], [0.059, 0.059, 0.463], [0.314, 0.314, 0.675], [0.394, 0.394, 0.118], [0.650, 0.650, 0.329], [0.694, 0.694, 0.062], [0.713, 0.713, 0.798], [0.019, 0.019, 0.225], [0.203, 0.203, 0.927], [0.505, 0.505, 0.864], [0.687, 0.687, 0.568], [0.192, 0.192, 0.215]], "raw_formation_energy_mev_per_atom": -623, "space_group": "Cm (8)"}

{"formula": "RbLiNF2", "functional": "PBE", "state": "relaxed", "lattice": [[5.228, 0.000, 0.000], [0.000, 5.228, 0.000], [0.000, 0.000, 5.251]], "species": ["Rb", "Li", "N", "F", "F"], "frac_coords": [[0.000, 0.000, 0.000], [0.500, 0.500, 0.500], [0.000, 0.000, 0.500], [0.000, 0.500, 0.000], [0.500, 0.000, 0.000]], "raw_formation_energy_mev_per_atom": -345, "space_group": "P4/mmm (123)"}

{"formula": "Nb2SnHPd", "functional": "PBE", "state": "relaxed", "lattice": [[4.039, 0.000, 0.000], [0.000, 4.039, 0.000], [0.000, 0.000, 4.554]], "species": ["Nb", "Nb", "Sn", "H", "Pd"], "frac_coords": [[0.000, 0.500, 0.000], [0.500, 0.000, 0.000], [0.000, 0.000, 0.500], [0.500, 0.500, 0.000], [0.500, 0.500, 0.500]], "space_group": "P4/mmm (123)"}

{"formula": "KCr3Pt", "functional": "PBE", "state": "relaxed", "lattice": [[5.087, 0.000, 0.000], [0.000, 5.087, 0.000], [0.000, 0.000, 5.087]], "species": ["K", "Cr", "Cr", "Cr", "Pt"], "frac_coords": [[0.000, 0.000, 0.000], [0.000, 0.500, 0.500], [0.500, 0.000, 0.500], [0.500, 0.500, 0.000], [0.500, 0.500, 0.500]], "space_group": "Pm-3m (221)", "delta_e_f_ev_per_atom": 0.973}

{"formula": "Mg2MnPd7", "functional": "PBE", "state": "relaxed", "lattice": [[4.132, -7.765, 0.000], [4.132, 7.765, 0.000], [0.000, 0.000, 2.813]], "species": ["Mg", "Mg", "Mn", "Pd", "Pd", "Pd", "Pd", "Pd", "Pd", "Pd"], "frac_coords": [[0.172, 0.828, 0.000], [0.828, 0.172, 0.000], [0.500, 0.500, 0.500], [0.000, 0.000, 0.000], [0.192, 0.373, 0.000], [0.313, 0.687, 0.500], [0.373, 0.192, 0.000], [0.627, 0.808, 0.000], [0.687, 0.313, 0.500], [0.808, 0.627, 0.000]], "space_group": "Cmmm (65)", "delta_e_f_ev_per_atom": -0.031}

{"formula": "Rb2LiPd2", "functional": "PBE", "state": "relaxed", "lattice": [[7.064, 0.000, 0.000], [0.000, 7.064, 0.000], [0.000, 0.000, 5.530]], "species": ["Rb", "Rb", "Rb", "Rb", "Li", "Li", "Pd", "Pd", "Pd", "Pd"], "frac_coords": [[0.177, 0.323, 0.000], [0.323, 0.823, 0.000], [0.677, 0.177, 0.000], [0.823, 0.677, 0.000], [0.000, 0.000, 0.500], [0.500, 0.500, 0.500], [0.134, 0.634, 0.500], [0.366, 0.134, 0.500], [0.634, 0.866, 0.500], [0.866, 0.366, 0.500]], "space_group": "P4/mbm (127)", "delta_e_f_ev_per_atom": 0.119}

{"formula": "Dy2HfRu3", "functional": "PBE", "state": "relaxed", "lattice": [[2.356, -7.081, 0.000], [2.356, 7.081, 0.000], [0.000, 0.000, 6.712]], "species": ["Dy", "Dy", "Dy", "Dy", "Hf", "Hf", "Ru", "Ru", "Ru", "Ru", "Ru", "Ru"], "frac_coords": [[0.000, 0.000, 0.000], [0.000, 0.000, 0.500], [0.334, 0.666, 0.000], [0.666, 0.334, 0.000], [0.332, 0.668, 0.500], [0.668, 0.332, 0.500], [0.171, 0.829, 0.265], [0.171, 0.829, 0.735], [0.500, 0.500, 0.261], [0.500, 0.500, 0.739], [0.829, 0.171, 0.265], [0.829, 0.171, 0.735]], "space_group": "Cmmm (65)", "delta_e_f_ev_per_atom": -0.500}

{"formula": "K3BSe3", "functional": "PBE", "state": "relaxed", "lattice": [[4.893, 0.000, 0.000], [0.000, 13.571, 0.000], [-4.318, 0.000, 14.679]], "species": ["K", "K", "K", "K", "K", "K", "K", "K", "K", "K", "K", "K", "B", "B", "B", "B", "Se", "Se", "Se", "Se", "Se", "Se", "Se", "Se", "Se", "Se", "Se", "Se"], "frac_coords": [[0.058, 0.177, 0.260], [0.058, 0.323, 0.760], [0.194, 0.067, 0.920], [0.194, 0.433, 0.420], [0.328, 0.137, 0.564], [0.328, 0.363, 0.064], [0.672, 0.637, 0.936], [0.672, 0.863, 0.436], [0.806, 0.567, 0.580], [0.806, 0.933, 0.080], [0.942, 0.677, 0.240], [0.942, 0.823, 0.740], [0.310, 0.742, 0.588], [0.310, 0.758, 0.088], [0.690, 0.242, 0.912], [0.690, 0.258, 0.412], [0.202, 0.679, 0.465], [0.202, 0.821, 0.965], [0.315, 0.613, 0.097], [0.315, 0.887, 0.597], [0.409, 0.658, 0.699], [0.409, 0.842, 0.199], [0.591, 0.158, 0.801], [0.591, 0.342, 0.301], [0.685, 0.113, 0.403], [0.685, 0.387, 0.903], [0.798, 0.179, 0.035], [0.798, 0.321, 0.535]], "raw_formation_energy_mev_per_atom": -904, "space_group": "P2_1/c (14)"}

The E_tot results, record by record, are as follows: -2.72; -3.28; -3.56; -6.02; -3.98; -4.79; -3.24; -4.21; -6.54; -7.81; -6.45; -5.27; -7.71; -4.16; -3.55; -3.33; -6.83; -6.23; -4.90; -2.73; -8.33; -3.82 eV/atom.